This record from Alexandria describes a relaxed TiFe2Cu crystal. The functional is GGA-PBE.

Unit cell a=3.593 b=3.706 c=3.706 alpha=90.00 beta=90.00 gamma=90.00
Atoms (fractional coordinates):
Fe1 0.000 0.000 0.500
Fe2 0.000 0.500 0.000
Cu1 0.500 0.500 0.500
Ti1 0.500 0.000 0.000

## Properties
DFT total energy   -7.337 eV per atom
Mass density   7.51 Mg/m³